[1]
A plane-wave DFT calculation with PBE was carried out for crystalline EuSn2Bi at its relaxed geometry.

## Properties
formation energy	-176	kJ/mol of formula units
density	8.6	g/cm3
magnetization	1.72	μB per atom
raw total energy	-5.996	eV per atom

Cell and atoms, written as CIF:
```
data_EuSn2Bi
_chemical_formula_sum 'Eu1 Sn2 Bi1'
_space_group_name_H-M_alt 'P 4/m m m'
_space_group_IT_number 123
_space_group_name_Hall '-P 4 2'
_cell_length_a 4.8050
_cell_length_b 4.8050
_cell_length_c 5.0098
_cell_angle_alpha 90.00
_cell_angle_beta 90.00
_cell_angle_gamma 90.00
loop_
_atom_site_label
_atom_site_fract_x
_atom_site_fract_y
_atom_site_fract_z
Eu1 0.0000 0.0000 0.0000
Sn1 0.0000 0.5000 0.5000
Bi1 0.5000 0.5000 0.0000
```


[2]
A plane-wave DFT calculation with PBE was carried out for crystalline Sr3Li at its relaxed geometry.

## Properties
formation energy	35	kJ/mol of formula units
density	2.4	g/cm3
magnetization	0.00	μB per atom
raw total energy	-1.650	eV per atom
energy above the lowest structure with this stoichiometry	0.050	eV/atom

Cell and atoms, written as CIF:
```
data_Sr3Li
_chemical_formula_sum 'Sr6 Li2'
_space_group_name_H-M_alt 'I 4/m m m'
_space_group_IT_number 139
_space_group_name_Hall '-I 4 2'
_cell_length_a 5.6297
_cell_length_b 5.6297
_cell_length_c 12.0200
_cell_angle_alpha 90.00
_cell_angle_beta 90.00
_cell_angle_gamma 90.00
loop_
_atom_site_label
_atom_site_fract_x
_atom_site_fract_y
_atom_site_fract_z
Sr1 0.0000 0.0000 0.0000
Sr2 0.0000 0.5000 0.2500
Li1 0.0000 0.0000 0.5000
```


[3]
A plane-wave DFT calculation with PBE was carried out for crystalline TcMo2Ir at its relaxed geometry.

## Properties
formation energy	10	kJ/mol of formula units
density	13.1	g/cm3
magnetization	0.00	μB per atom
raw total energy	-10.196	eV per atom
energy above the lowest structure with this stoichiometry	0.112	eV/atom

Cell and atoms, written as CIF:
```
data_TcMo2Ir
_chemical_formula_sum 'Tc1 Mo2 Ir1'
_space_group_name_H-M_alt 'P 4 m m'
_space_group_IT_number 99
_space_group_name_Hall 'P 4 -2'
_cell_length_a 2.7418
_cell_length_b 2.7418
_cell_length_c 8.1238
_cell_angle_alpha 90.00
_cell_angle_beta 90.00
_cell_angle_gamma 90.00
loop_
_atom_site_label
_atom_site_fract_x
_atom_site_fract_y
_atom_site_fract_z
Tc1 0.0000 0.0000 0.0000
Mo1 0.0000 0.0000 0.4811
Mo2 0.5000 0.5000 0.7480
Ir1 0.5000 0.5000 0.2371
```


[4]
A plane-wave DFT calculation with PBE was carried out for crystalline ZrMo2Ru2 at its relaxed geometry.

## Properties
formation energy	14	kJ/mol of formula units
density	9.7	g/cm3
magnetization	0.00	μB per atom
raw total energy	-9.723	eV per atom
energy above the lowest structure with this stoichiometry	0.000	eV/atom

Cell and atoms, written as CIF:
```
data_ZrMo2Ru2
_chemical_formula_sum 'Zr2 Mo4 Ru4'
_space_group_name_H-M_alt 'P 4/m b m'
_space_group_IT_number 127
_space_group_name_Hall '-P 4 2ab'
_cell_length_a 7.5815
_cell_length_b 7.5815
_cell_length_c 2.8831
_cell_angle_alpha 90.00
_cell_angle_beta 90.00
_cell_angle_gamma 90.00
loop_
_atom_site_label
_atom_site_fract_x
_atom_site_fract_y
_atom_site_fract_z
Zr1 0.0000 0.0000 0.0000
Mo1 0.1660 0.3340 0.5000
Ru1 0.1305 0.6305 0.0000
```


Volume readings, ordered: 28.92, 47.62, 15.27, 16.57 Å³ per atom